# 1
The following is a PBE-GGA calculation of Y2Co5Si3 after structural relaxation, from Alexandria.

Calculated values
DOS at the Fermi energy in states/eV per cell: 18.7
Theoretical density in g/cm3: 6.3
Final energy in eV/f.u.: -70.6
Total moment in Bohr magnetons per cell: 0.00

Unit cell a=7.821 b=7.821 c=7.821 alpha=105.35 beta=89.05 gamma=138.76
Sites, in units of the cell vectors:
Y: 0.125 0.244 0.369
Y: 0.375 0.744 0.119
Y: 0.625 0.256 0.881
Y: 0.875 0.756 0.631
Co: 0.009 0.750 0.259
Co: 0.126 0.873 0.999
Co: 0.250 0.750 0.500
Co: 0.374 0.373 0.748
Co: 0.491 0.750 0.741
Co: 0.509 0.250 0.259
Co: 0.626 0.627 0.252
Co: 0.750 0.250 0.500
Co: 0.874 0.127 0.001
Co: 0.991 0.250 0.741
Si: 0.121 0.631 0.752
Si: 0.250 0.250 0.000
Si: 0.379 0.131 0.510
Si: 0.621 0.869 0.490
Si: 0.750 0.750 0.000
Si: 0.879 0.369 0.248

---

# 2
The following is a PBE-GGA calculation of Ga2W after structural relaxation, from Alexandria.

Calculated values
DOS at the Fermi energy in states/eV per cell: 2.7
Theoretical density in g/cm3: 11.4
Total moment in Bohr magnetons per cell: 0.00
Energy relative to the elements in eV/atom: 0.249

Unit cell a=3.277 b=3.277 c=4.938 alpha=109.31 beta=109.31 gamma=89.74
Sites, in units of the cell vectors:
Ga: 0.162 0.162 0.327
Ga: 0.838 0.838 0.673
W: 0.500 0.500 0.000

---

# 3
The following is a PBE-GGA calculation of Be2CuHg after structural relaxation, from Alexandria.

Calculated values
DOS at the Fermi energy in states/eV per cell: 0.7
Theoretical density in g/cm3: 9.3
Total moment in Bohr magnetons per cell: 0.00
Energy relative to the elements in eV/atom: 0.303

Unit cell a=4.472 b=4.472 c=4.216 alpha=105.78 beta=105.78 gamma=38.77
Sites, in units of the cell vectors:
Be: 0.000 0.000 0.000
Be: 0.722 0.722 0.249
Cu: 0.259 0.259 0.843
Hg: 0.483 0.483 0.490

---

# 4
The following is a PBE-GGA calculation of TlFeAs after structural relaxation, from Alexandria.

Calculated values
DOS at the Fermi energy in states/eV per cell: 5.0
Theoretical density in g/cm3: 9.3
Total moment in Bohr magnetons per cell: 1.46
Energy relative to the elements in eV/atom: 0.169

Unit cell a=6.757 b=6.757 c=5.506 alpha=113.61 beta=113.61 gamma=31.59
Sites, in units of the cell vectors:
Tl: 0.000 0.000 0.000
Tl: 0.715 0.715 0.469
Fe: 0.079 0.079 0.595
Fe: 0.858 0.858 0.237
As: 0.252 0.252 0.978
As: 0.454 0.454 0.504

---

# 5
The following is a PBE-GGA calculation of ZnRe2I after structural relaxation, from Alexandria.

Calculated values
DOS at the Fermi energy in states/eV per cell: 7.0
Theoretical density in g/cm3: 11.8
Final energy in eV/f.u.: -23.1
Total moment in Bohr magnetons per cell: 0.00

Unit cell a=9.977 b=9.977 c=9.977 alpha=156.38 beta=156.38 gamma=33.64
Sites, in units of the cell vectors:
Zn: 0.000 0.000 0.000
Zn: 0.750 0.250 0.500
Re: 0.042 0.625 0.917
Re: 0.375 0.292 0.417
Re: 0.708 0.125 0.083
Re: 0.875 0.958 0.583
I: 0.250 0.750 0.500
I: 0.500 0.500 0.000

---

# 6
The following is a PBE-GGA calculation of SrEr3Ir after structural relaxation, from Alexandria.

Calculated values
DOS at the Fermi energy in states/eV per cell: 5.1
Theoretical density in g/cm3: 7.9
Total moment in Bohr magnetons per cell: 0.00
Energy relative to the elements in eV/atom: -0.353

Unit cell a=5.475 b=5.475 c=5.475 alpha=90.00 beta=90.00 gamma=90.00
Sites, in units of the cell vectors:
Sr: 0.000 0.000 0.000
Er: 0.000 0.500 0.500
Er: 0.500 0.000 0.500
Er: 0.500 0.500 0.000
Ir: 0.500 0.500 0.500

---

# 7
The following is a PBE-GGA calculation of LiMo2Pb after structural relaxation, from Alexandria.

Calculated values
DOS at the Fermi energy in states/eV per cell: 3.5
Theoretical density in g/cm3: 9.4
Total moment in Bohr magnetons per cell: 0.00
Energy relative to the elements in eV/atom: 0.629

Unit cell a=2.993 b=4.431 c=5.414 alpha=90.00 beta=90.00 gamma=90.00
Sites, in units of the cell vectors:
Li: 0.000 0.000 0.000
Mo: 0.500 0.500 0.210
Mo: 0.500 0.500 0.790
Pb: 0.000 0.000 0.500

---

# 8
The following is a PBE-GGA calculation of InTc2Cl after structural relaxation, from Alexandria.

Calculated values
DOS at the Fermi energy in states/eV per cell: 5.9
Theoretical density in g/cm3: 9.0
Final energy in eV/f.u.: -22.3
Total moment in Bohr magnetons per cell: 0.49

Unit cell a=3.078 b=3.078 c=6.764 alpha=90.00 beta=90.00 gamma=90.00
Sites, in units of the cell vectors:
In: 0.000 0.000 0.000
Tc: 0.500 0.500 0.277
Tc: 0.500 0.500 0.723
Cl: 0.000 0.000 0.500

---

# 9
The following is a PBE-GGA calculation of TbNdSn2 after structural relaxation, from Alexandria.

Calculated values
DOS at the Fermi energy in states/eV per cell: 3.7
Theoretical density in g/cm3: 8.1
Total moment in Bohr magnetons per cell: 0.00
Energy relative to the elements in eV/atom: -0.650

Unit cell a=4.929 b=4.929 c=4.533 alpha=90.00 beta=90.00 gamma=90.00
Sites, in units of the cell vectors:
Tb: 0.000 0.000 0.000
Nd: 0.500 0.500 0.000
Sn: 0.000 0.500 0.500
Sn: 0.500 0.000 0.500

---

# 10
The following is a PBE-GGA calculation of CsP2Ru2 after structural relaxation, from Alexandria.

Calculated values
DOS at the Fermi energy in states/eV per cell: 1.9
Theoretical density in g/cm3: 5.6
Total moment in Bohr magnetons per cell: 0.00
Energy relative to the elements in eV/atom: 0.002

Unit cell a=8.047 b=8.047 c=8.047 alpha=151.63 beta=151.63 gamma=40.56
Sites, in units of the cell vectors:
Cs: 0.000 0.000 0.000
P: 0.250 0.750 0.500
P: 0.750 0.250 0.500
Ru: 0.330 0.330 0.000
Ru: 0.670 0.670 0.000

---

# 11
The following is a PBE-GGA calculation of HfBiB2Ru after structural relaxation, from Alexandria.

Calculated values
DOS at the Fermi energy in states/eV per cell: 4.5
Theoretical density in g/cm3: 7.9
Total moment in Bohr magnetons per cell: 2.06
Energy relative to the elements in eV/atom: 1.838

Unit cell a=4.388 b=4.388 c=5.562 alpha=90.00 beta=90.00 gamma=90.00
Sites, in units of the cell vectors:
Hf: 0.000 0.000 0.000
Bi: 0.000 0.000 0.500
B: 0.000 0.500 0.000
B: 0.500 0.000 0.000
Ru: 0.500 0.500 0.500

---

# 12
The following is a PBE-GGA calculation of Ce2Cr2MoN6 after structural relaxation, from Alexandria.

Calculated values
DOS at the Fermi energy in states/eV per cell: 14.9
Theoretical density in g/cm3: 6.3
Final energy in eV/f.u.: -98.6
Total moment in Bohr magnetons per cell: 2.09

Unit cell a=6.157 b=6.157 c=6.157 alpha=55.83 beta=55.83 gamma=55.83
Sites, in units of the cell vectors:
Ce: 0.213 0.213 0.213
Ce: 0.787 0.787 0.787
Cr: 0.432 0.432 0.432
Cr: 0.568 0.568 0.568
Mo: 0.000 0.000 0.000
N: 0.241 0.241 0.757
N: 0.241 0.757 0.241
N: 0.243 0.759 0.759
N: 0.757 0.241 0.241
N: 0.759 0.243 0.759
N: 0.759 0.759 0.243

---

# 13
The following is a PBE-GGA calculation of Ac3Pm3PrSe8 after structural relaxation, from Alexandria.

Calculated values
DOS at the Fermi energy in states/eV per cell: 7.7
Theoretical density in g/cm3: 6.9
Final energy in eV/f.u.: -87.5
Total moment in Bohr magnetons per cell: 0.00

Unit cell a=8.707 b=8.707 c=8.707 alpha=58.82 beta=58.82 gamma=58.82
Sites, in units of the cell vectors:
Ac: 0.000 0.500 0.500
Ac: 0.500 0.000 0.500
Ac: 0.500 0.500 0.000
Pm: 0.000 0.000 0.500
Pm: 0.000 0.500 0.000
Pm: 0.500 0.000 0.000
Pr: 0.500 0.500 0.500
Se: 0.238 0.750 0.750
Se: 0.244 0.244 0.244
Se: 0.250 0.250 0.762
Se: 0.250 0.762 0.250
Se: 0.750 0.238 0.750
Se: 0.750 0.750 0.238
Se: 0.756 0.756 0.756
Se: 0.762 0.250 0.250